First-principles (PBE) data for a geometry-optimized Zn2TcSe structure, as listed in Alexandria via LeMat-Bulk.

Values from the calculation:
The raw formation energy comes out at 0.30 eV per atom. The relative energy among the computed polymorphs is 271.4 meV per atom. Its space-group type is No. 123.

Geometry as POSCAR:
```
Zn2TcSe
1.0
3.657 0.000 0.000
0.000 4.168 0.000
0.000 0.000 4.168
Se Tc Zn
1 1 2
direct
0.500 0.500 0.000 Se
0.500 0.000 0.500 Tc
0.000 0.000 0.000 Zn
0.000 0.500 0.500 Zn
```